No. 1
Ga2Cu8Au3 after structural relaxation, computed with GGA-PBE.

abc: 4.866 4.866 9.793
angles: 75.62 75.62 60.00
Atoms (fractional coordinates):
Cu1 0.734 0.734 0.299
Ga1 0.360 0.360 0.921
Cu2 0.232 0.734 0.299
Cu3 0.726 0.726 0.823
Au1 0.183 0.183 0.452
Au2 0.817 0.817 0.548
Cu4 0.768 0.266 0.701
Ga2 0.640 0.640 0.079
Au3 0.000 0.000 0.000
Cu5 0.734 0.232 0.299
Cu6 0.266 0.266 0.701
Cu7 0.274 0.274 0.177
Cu8 0.266 0.768 0.701

- M_tot: 0.00 Bohr magnetons per cell
- VASP energy: -3.713 eV per atom

=====

No. 2
ErTh4Sc5 after structural relaxation, computed with GGA-PBE.

abc: 3.457 3.457 23.662
angles: 90.00 90.00 90.00
Atoms (fractional coordinates):
Sc1 0.500 0.500 0.701
Sc2 0.500 0.500 0.100
Sc3 0.500 0.500 0.500
Sc4 0.500 0.500 0.299
Th1 0.000 0.000 0.801
Er1 0.000 0.000 0.000
Sc5 0.500 0.500 0.900
Th2 0.000 0.000 0.600
Th3 0.000 0.000 0.400
Th4 0.000 0.000 0.199

- M_tot: 0.00 Bohr magnetons per cell
- VASP energy: -6.559 eV per atom

=====

No. 3
ZnBrCl after structural relaxation, computed with GGA-PBE.

abc: 6.061 10.363 5.904
angles: 90.00 90.00 90.00
Atoms (fractional coordinates):
Zn1 0.750 0.378 0.000
Br1 0.000 0.750 0.266
Cl1 0.956 0.500 0.750
Zn2 0.250 0.878 0.500
Cl2 0.456 0.000 0.250
Br2 0.500 0.250 0.766
Cl3 0.044 0.000 0.750
Br3 0.000 0.250 0.234
Br4 0.500 0.750 0.734
Zn3 0.250 0.122 0.000
Cl4 0.544 0.500 0.250
Zn4 0.750 0.622 0.500

- Raw formation energy: -3.03 eV per formula unit
- M_tot: 0.00 Bohr magnetons per cell
- Offset from the most stable computed form: 3 meV per atom

=====

No. 4
InH2Pt2 after structural relaxation, computed with GGA-PBE.

abc: 7.038 7.038 2.878
angles: 90.00 90.00 90.00
Atoms (fractional coordinates):
H1 0.732 0.232 0.500
H2 0.268 0.768 0.500
Pt1 0.364 0.864 0.000
In1 0.000 0.000 0.000
Pt2 0.136 0.364 0.000
In2 0.500 0.500 0.000
Pt3 0.864 0.636 0.000
Pt4 0.636 0.136 0.000
H3 0.232 0.268 0.500
H4 0.768 0.732 0.500

- M_tot: 0.00 Bohr magnetons per cell
- Offset from the most stable computed form: 190 meV per atom

=====

No. 5
La2ScAlPt6 after structural relaxation, computed with GGA-PBE.

abc: 5.737 8.720 8.722
angles: 38.41 70.82 90.02
Atoms (fractional coordinates):
Pt1 0.757 0.245 0.990
Al1 0.000 0.000 0.000
Sc1 0.500 0.500 0.000
Pt2 0.243 0.253 0.513
La1 0.290 0.711 0.420
Pt3 0.746 0.755 0.010
La2 0.710 0.289 0.580
Pt4 0.243 0.755 0.010
Pt5 0.254 0.245 0.990
Pt6 0.757 0.747 0.487

- M_tot: 0.00 Bohr magnetons per cell
- VASP energy: -6.546 eV per atom

=====

No. 6
ZnSiN2F after structural relaxation, computed with GGA-PBE.

abc: 3.615 3.615 3.660
angles: 90.00 90.00 90.00
Last column: magnetic moment on the atom in μB.
Atoms (fractional coordinates):
N1 0.000 0.500 0.000  0.16
F1 0.000 0.000 0.500  0.00
Si1 0.000 0.000 0.000  -0.01
Zn1 0.500 0.500 0.500  -0.01
N2 0.500 0.000 0.000  0.16

- Raw formation energy: -1.42 eV per formula unit
- M_tot: 0.40 Bohr magnetons per cell
- Offset from the most stable computed form: 0 meV per atom

=====

No. 7
BaAgOs2 after structural relaxation, computed with GGA-PBE.

abc: 6.181 6.181 6.181
angles: 152.58 132.47 55.75
Atoms (fractional coordinates):
Os1 0.977 0.977 0.000
Os2 0.523 0.523 0.000
Ba1 0.250 0.750 0.500
Ag1 0.750 0.250 0.500

- M_tot: 0.00 Bohr magnetons per cell
- Offset from the most stable computed form: 814 meV per atom

=====

No. 8
Tb2NdScS6 after structural relaxation, computed with GGA-PBE.

abc: 6.900 6.900 7.317
angles: 61.86 61.86 59.99
Atoms (fractional coordinates):
S1 0.708 0.130 0.758
S2 0.130 0.405 0.758
Nd1 0.811 0.811 0.566
S3 0.938 0.596 0.248
S4 0.404 0.708 0.757
Tb1 0.015 0.015 0.956
Sc1 0.320 0.320 0.040
S5 0.219 0.938 0.248
S6 0.595 0.219 0.248
Tb2 0.521 0.521 0.438

- Raw formation energy: -19.85 eV per formula unit
- M_tot: 0.00 Bohr magnetons per cell